Density functional theory data (PBE) for crystalline Ti6Re5Rh at its relaxed geometry.

The value obtained for the total DFT energy (no corrections) is -10.238 eV/atom.

Geometry as CIF:
```
data_Ti6Re5Rh
_chemical_formula_sum 'Ti6 Re5 Rh1'
_symmetry_space_group_name_H-M 'P 1'
_symmetry_Int_Tables_number 1
_symmetry_space_group_name_Hall 'P 1'
_cell_length_a 4.405
_cell_length_b 6.239
_cell_length_c 6.954
_cell_angle_alpha 90.00
_cell_angle_beta 108.39
_cell_angle_gamma 90.00
loop_
_atom_site_label
_atom_site_fract_x
_atom_site_fract_y
_atom_site_fract_z
_atom_site_occupancy
Re1 0.332 0.000 0.666 1
Ti1 0.832 0.250 0.665 1
Re2 0.666 0.500 0.332 1
Re3 0.668 0.000 0.334 1
Ti2 0.500 0.252 0.000 1
Ti3 0.832 0.750 0.665 1
Ti4 0.500 0.748 0.000 1
Re4 0.000 0.500 0.000 1
Re5 0.334 0.500 0.668 1
Ti5 0.168 0.750 0.335 1
Ti6 0.168 0.250 0.335 1
Rh1 0.000 0.000 0.000 1
```

=====

Density functional theory data (PBE) for crystalline Th2SbP at its relaxed geometry.

The calculation puts the raw formation energy at -1.238 eV/atom.

Geometry as CIF:
```
data_Th2SbP
_chemical_formula_sum 'Th2 Sb1 P1'
_symmetry_space_group_name_H-M 'P 1'
_symmetry_Int_Tables_number 1
_symmetry_space_group_name_Hall 'P 1'
_cell_length_a 4.278
_cell_length_b 4.278
_cell_length_c 7.617
_cell_angle_alpha 73.69
_cell_angle_beta 73.69
_cell_angle_gamma 60.00
loop_
_atom_site_label
_atom_site_fract_x
_atom_site_fract_y
_atom_site_fract_z
_atom_site_occupancy
Th1 0.262 0.262 0.215 1
P1 0.000 0.000 0.000 1
Sb1 0.500 0.500 0.500 1
Th2 0.738 0.738 0.785 1
```

=====

Density functional theory data (PBE) for crystalline KB6PH4O14 at its relaxed geometry.

The value obtained for the total DFT energy (no corrections) is -7.080 eV/atom.

Geometry as CIF:
```
data_KB6PH4O14
_chemical_formula_sum 'K4 B24 P4 H16 O56'
_symmetry_space_group_name_H-M 'P 1'
_symmetry_Int_Tables_number 1
_symmetry_space_group_name_Hall 'P 1'
_cell_length_a 7.800
_cell_length_b 12.261
_cell_length_c 12.261
_cell_angle_alpha 90.00
_cell_angle_beta 90.00
_cell_angle_gamma 90.00
loop_
_atom_site_label
_atom_site_fract_x
_atom_site_fract_y
_atom_site_fract_z
_atom_site_occupancy
B1 0.250 0.883 0.117 1
H1 0.841 0.533 0.789 1
O1 0.890 0.598 0.463 1
O2 0.854 0.348 0.911 1
O3 0.146 0.089 0.348 1
P1 0.000 0.500 0.500 1
H2 0.341 0.711 0.967 1
B2 0.750 0.883 0.883 1
B3 0.695 0.822 0.693 1
O4 0.809 0.771 0.902 1
O5 0.890 0.037 0.098 1
O6 0.390 0.402 0.463 1
O7 0.646 0.848 0.589 1
P2 0.500 0.500 0.500 1
O8 0.110 0.902 0.037 1
O9 0.646 0.152 0.411 1
O10 0.309 0.598 0.729 1
O11 0.309 0.229 0.902 1
O12 0.691 0.098 0.229 1
O13 0.610 0.463 0.598 1
P3 0.000 0.000 0.000 1
H3 0.159 0.967 0.711 1
O14 0.610 0.098 0.037 1
O15 0.610 0.537 0.402 1
H4 0.841 0.467 0.211 1
O16 0.854 0.411 0.152 1
H5 0.659 0.211 0.467 1
K1 0.592 0.500 0.000 1
O17 0.354 0.652 0.911 1
H6 0.841 0.289 0.967 1
O18 0.250 0.783 0.783 1
B4 0.805 0.678 0.193 1
O19 0.691 0.271 0.598 1
H7 0.159 0.033 0.289 1
O20 0.146 0.152 0.589 1
B5 0.195 0.822 0.307 1
O21 0.354 0.348 0.089 1
O22 0.309 0.771 0.098 1
K2 0.092 0.500 0.000 1
O23 0.191 0.902 0.229 1
B6 0.750 0.617 0.383 1
O24 0.750 0.717 0.717 1
O25 0.646 0.911 0.348 1
H8 0.659 0.967 0.289 1
B7 0.750 0.383 0.617 1
O26 0.146 0.911 0.652 1
P4 0.500 0.000 0.000 1
O27 0.890 0.963 0.902 1
O28 0.354 0.411 0.848 1
H9 0.341 0.533 0.211 1
O29 0.854 0.589 0.848 1
O30 0.750 0.217 0.783 1
O31 0.809 0.229 0.098 1
H10 0.341 0.289 0.033 1
B8 0.805 0.693 0.822 1
O32 0.191 0.098 0.771 1
O33 0.890 0.402 0.537 1
B9 0.195 0.178 0.693 1
B10 0.305 0.678 0.807 1
O34 0.354 0.589 0.152 1
H11 0.659 0.033 0.711 1
O35 0.390 0.037 0.902 1
B11 0.695 0.193 0.678 1
O36 0.646 0.089 0.652 1
B12 0.195 0.193 0.322 1
O37 0.390 0.963 0.098 1
O38 0.191 0.271 0.402 1
K3 0.908 0.000 0.500 1
O39 0.146 0.848 0.411 1
O40 0.110 0.463 0.402 1
O41 0.691 0.902 0.771 1
H12 0.159 0.789 0.467 1
B13 0.805 0.307 0.178 1
B14 0.695 0.178 0.307 1
B15 0.805 0.322 0.807 1
O42 0.390 0.598 0.537 1
B16 0.250 0.383 0.383 1
O43 0.250 0.217 0.217 1
H13 0.841 0.711 0.033 1
B17 0.695 0.807 0.322 1
O44 0.309 0.402 0.271 1
O45 0.854 0.652 0.089 1
H14 0.341 0.467 0.789 1
O46 0.250 0.717 0.283 1
H15 0.159 0.211 0.533 1
B18 0.305 0.693 0.178 1
O47 0.750 0.783 0.217 1
O48 0.610 0.902 0.963 1
O49 0.809 0.402 0.729 1
O50 0.750 0.283 0.283 1
B19 0.305 0.322 0.193 1
B20 0.250 0.617 0.617 1
O51 0.809 0.598 0.271 1
O52 0.250 0.283 0.717 1
O53 0.110 0.537 0.598 1
B21 0.250 0.117 0.883 1
B22 0.305 0.307 0.822 1
O54 0.191 0.729 0.598 1
O55 0.110 0.098 0.963 1
B23 0.195 0.807 0.678 1
K4 0.408 0.000 0.500 1
B24 0.750 0.117 0.117 1
H16 0.659 0.789 0.533 1
O56 0.691 0.729 0.402 1
```

=====

Density functional theory data (PBE) for crystalline ReTeS2 at its relaxed geometry.

The calculation puts the raw formation energy at 0.721 eV/atom.

Geometry as CIF:
```
data_ReTeS2
_chemical_formula_sum 'Re1 Te1 S2'
_symmetry_space_group_name_H-M 'P 1'
_symmetry_Int_Tables_number 1
_symmetry_space_group_name_Hall 'P 1'
_cell_length_a 9.171
_cell_length_b 9.171
_cell_length_c 9.171
_cell_angle_alpha 19.85
_cell_angle_beta 19.85
_cell_angle_gamma 19.85
loop_
_atom_site_label
_atom_site_fract_x
_atom_site_fract_y
_atom_site_fract_z
_atom_site_occupancy
S1 0.918 0.918 0.918 1
S2 0.082 0.082 0.082 1
Te1 0.500 0.500 0.500 1
Re1 0.000 0.000 0.000 1
```